No. 1
VASP calculation (PBE) on a relaxed CsGeMo2 crystal.

Calculated values
The calculation puts the offset from the most stable computed form at 0.0000 eV/atom. The value obtained for the calculated formation energy is 1.5605 eV/atom.

abc: 4.714 4.714 4.714
angles: 60.00 60.00 60.00
Sites, in units of the cell vectors:
Mo1 0.250 0.250 0.250
Mo2 0.750 0.750 0.750
Cs1 0.500 0.500 0.500
Ge1 0.000 0.000 0.000

No. 2
VASP calculation (PBE) on a relaxed GaI3Cl crystal.

Calculated values
As for the uncorrected formation energy: -0.38 eV/atom. The calculation puts the offset from the most stable computed form at 0.0000 eV/atom.

abc: 8.954 8.954 8.944
angles: 82.28 115.89 134.26
Sites, in units of the cell vectors:
I1 0.032 0.322 0.790
I2 0.007 0.282 0.226
I3 0.532 0.822 0.790
I4 0.056 0.781 0.774
I5 0.532 0.241 0.210
I6 0.032 0.741 0.210
Cl1 0.608 0.281 0.826
Cl2 0.456 0.782 0.174
Ga1 0.032 0.532 0.000
Ga2 0.532 0.032 0.000

No. 3
VASP calculation (PBE) on a relaxed Tb4FeBi crystal.

Calculated values
The value obtained for the calculated formation energy is -0.3010 eV/atom.

abc: 6.097 8.010 8.010
angles: 112.68 101.69 101.69
Sites, in units of the cell vectors:
Bi1 0.750 0.628 0.372
Bi2 0.250 0.372 0.628
Tb1 0.441 0.733 0.056
Tb2 0.941 0.056 0.733
Tb3 0.363 0.796 0.651
Tb4 0.637 0.204 0.349
Tb5 0.559 0.267 0.944
Tb6 0.863 0.651 0.796
Tb7 0.137 0.349 0.204
Tb8 0.059 0.944 0.267
Fe1 0.250 0.001 0.999
Fe2 0.750 0.999 0.001

No. 4
VASP calculation (PBE) on a relaxed Ca2SmTlO crystal.

Calculated values
As for the uncorrected formation energy: -1.39 eV/atom.

abc: 4.975 4.845 4.845
angles: 90.00 90.00 90.00
Sites, in units of the cell vectors:
Ca1 0.000 0.500 0.000
Ca2 0.000 0.000 0.500
Sm1 0.500 0.000 0.000
Tl1 0.500 0.500 0.500
O1 0.000 0.000 0.000

no.,total magnetic moment (μB/f.u.),density of states at the Fermi level (states/eV/cell)
1,0.000,3.8
2,0.003,3.9
3,0.000,8.8
4,0.000,1.1